No. 1
TiFe2S | PBE | optimized geometry

Output
Uncorrected formation energy ... -81 meV/atom
Total energy ... -58.54 eV for the cell shown

Cell: 6.8393 6.8393 5.3860 Å, 50.59 50.59 90.00°
Closest atoms and distances in Å follow each position.
Atoms (fractional coordinates):
Fe  0.2100  0.6250  0.2500  2 S 2.13
Fe  0.8750  0.7900  0.7500  2 S 2.13
Fe  0.3750  0.4600  0.7500  2 S 2.13
Fe  0.5400  0.1250  0.2500  2 S 2.13
S  0.2500  0.7500  0.5000  4 Fe 2.13, 2 Ti 2.37
S  0.5000  0.5000  0.0000  4 Fe 2.13, 2 Ti 2.37
Ti  0.7500  0.2500  0.5000  2 S 2.37
Ti  0.0000  0.0000  0.0000  2 S 2.37



No. 2
LiMg2B2Ir5 | PBE | optimized geometry

Output
Total energy ... -133.32 eV for the cell shown
Calculated formation energy ... -390 meV per atom

Cell: 2.9317 9.3490 9.3490 Å, 90.00 90.00 90.00°
Closest atoms and distances in Å follow each position.
Atoms (fractional coordinates):
Ir  0.5000  0.0000  0.5000  4 B 2.26
Ir  0.5000  0.5697  0.7111  2 B 2.16
Ir  0.5000  0.4303  0.2889  2 B 2.16
Ir  0.5000  0.7111  0.4303  2 B 2.16
Ir  0.5000  0.0697  0.7889  2 B 2.16
Ir  0.5000  0.5000  0.0000  4 B 2.26
Ir  0.5000  0.9303  0.2111  2 B 2.16
Ir  0.5000  0.2111  0.0697  2 B 2.16
Ir  0.5000  0.7889  0.9303  2 B 2.16
Ir  0.5000  0.2889  0.5697  2 B 2.16
B  0.0000  0.8699  0.3699  6 Ir 2.16-2.26
B  0.0000  0.6301  0.8699  6 Ir 2.16-2.26
B  0.0000  0.1301  0.6301  6 Ir 2.16-2.26
B  0.0000  0.3699  0.1301  6 Ir 2.16-2.26
Mg  0.0000  0.3238  0.8238  1 B 2.56, 6 Ir 2.75-2.81
Mg  0.0000  0.6762  0.1762  1 B 2.56, 6 Ir 2.75-2.81
Mg  0.0000  0.1762  0.3238  1 B 2.56, 6 Ir 2.75-2.81
Mg  0.0000  0.8238  0.6762  1 B 2.56, 6 Ir 2.75-2.81
Li  0.0000  0.5000  0.5000  8 Ir 2.54
Li  0.0000  0.0000  0.0000  8 Ir 2.54